Computed, not measured: an optimized crystal structure of Dy2ErCd8 at the PBE level of DFT.

**SG**: C2/m, No. 12
**DOS(E_F)**: 0.50 states/eV/atom
**Calculated formation energy**: -0.22 eV/atom
**Size of the total moment**: 0.000 μB/atom

Cell lengths 5.3329, 6.3216, 8.8876 Å; angles 110.13, 106.64, 92.20 degrees
Element x y z (fractional)
Cd (0.1126, 0.3603, 0.2589)
Cd (0.2519, 0.4786, 0.0000)
Cd (0.8874, 0.6397, 0.7411)
Cd (0.8538, 0.1014, 0.7411)
Cd (0.7481, 0.5214, 0.0000)
Cd (0.1462, 0.8986, 0.2589)
Cd (0.6998, 0.1998, 0.3996)
Cd (0.3002, 0.8002, 0.6004)
Dy (0.3116, 0.3116, 0.6232)
Dy (0.6884, 0.6884, 0.3768)
Er (0.5000, 0.0000, 0.0000)